Compound: Si2IrPt
Source: the Alexandria database
Functional: GGA-PBEsol
Structure: relaxed

Results
* volume: 13.76 Å³ per atom
* space group: No. 12
* raw formation energy: -1.8 eV per formula unit
* final energy: -30.1 eV/cell

POSCAR file:
```
Si2IrPt
1.0
-2.593 1.323 0.032
0.824 -1.677 3.728
2.242 4.384 0.419
Si Ir Pt
2 1 1
Cartesian
0.352 0.641 2.003
0.122 3.389 2.176
1.121 2.192 0.209
-1.296 0.662 0.016
```